1.
The following is a DFT calculation (PBE-GGA) of a geometry-optimized NdLuSn structure.

E_form (eV/f.u.): -1.147
Energy relative to the lowest polymorph listed for this composition (meV per atom): 0
Calculated total energy (eV/atom): -4.813
D(E_F) (states/eV/atom): 0.497

Cell lengths 4.088, 5.077, 5.077 Å; angles 120.00, 90.00, 90.00 degrees
Positions (direct):
Nd1 0.662 0.667 0.333
Lu1 0.153 0.000 0.000
Sn1 0.185 0.333 0.667

2.
The following is a DFT calculation (PBE-GGA) of a geometry-optimized TbHgPdPb structure.

E_form (eV/f.u.): -1.828
Calculated total energy (eV/atom): -3.915
D(E_F) (states/eV/atom): 0.635

Cell lengths 5.074, 5.074, 5.074 Å; angles 60.00, 60.00, 60.00 degrees
Positions (direct):
Tb1 0.500 0.500 0.500
Pb1 0.000 0.000 0.000
Pd1 0.750 0.750 0.750
Hg1 0.250 0.250 0.250

3.
The following is a DFT calculation (PBE-GGA) of a geometry-optimized Pr6Ge2I3Br structure.

Energy relative to the elements, uncorrected (eV/atom): -1.034
Calculated total energy (eV/atom): -4.720
D(E_F) (states/eV/atom): 0.484

Cell lengths 7.599, 7.599, 8.114 Å; angles 98.98, 98.98, 120.08 degrees
Positions (direct):
Pr1 0.588 0.934 0.800
Pr2 0.279 0.279 0.801
Pr3 0.066 0.412 0.200
Pr4 0.934 0.588 0.800
Pr5 0.412 0.066 0.200
Pr6 0.721 0.721 0.199
I1 0.500 0.500 0.500
I2 0.833 0.167 0.500
I3 0.167 0.833 0.500
Br1 0.000 0.000 0.000
Ge1 0.667 0.333 0.000
Ge2 0.333 0.667 0.000

4.
The following is a DFT calculation (PBE-GGA) of a geometry-optimized YNbAl2 structure.

E_form (eV/f.u.): -1.064
Energy relative to the lowest polymorph listed for this composition (meV per atom): 0
Calculated total energy (eV/atom): -6.271
D(E_F) (states/eV/atom): 0.526

Cell lengths 3.532, 3.532, 6.408 Å; angles 90.00, 90.00, 90.00 degrees
Positions (direct):
Nb1 0.500 0.500 0.000
Al1 0.000 0.000 0.203
Al2 0.000 0.000 0.797
Y1 0.500 0.500 0.500